# 1
# TlCu2AgI4

TlCu2AgI4 after structural relaxation (PBE, Alexandria via LeMat-Bulk).

abc: 7.255 7.255 7.255
angles: 117.63 106.62 104.49
Element x y z (fractional)
Tl (0.000, 0.000, 0.000)
Cu (0.354, 0.854, 0.500)
Cu (0.646, 0.146, 0.500)
Ag (0.500, 0.500, 0.000)
I (0.145, 0.075, 0.575)
I (0.500, 0.570, 0.425)
I (0.500, 0.925, 0.070)
I (0.855, 0.430, 0.930)

Calculated values
Raw formation energy (eV per atom): -0.25
V (Å³/cell): 289.4
Symmetry: No. 23

# 2
# CsCaZnTe

CsCaZnTe after structural relaxation (PBE, Alexandria via LeMat-Bulk).

abc: 5.921 4.702 6.181
angles: 90.00 101.98 90.00
Element x y z (fractional)
Cs (0.000, 0.000, 0.000)
Ca (0.601, 0.500, 0.416)
Zn (0.342, 0.000, 0.573)
Te (0.484, 0.500, 0.896)

Calculated values
Raw formation energy (eV per atom): -0.44
V (Å³/cell): 168.3
Symmetry: No. 6

# 3
# Be2CdAu3

Be2CdAu3 after structural relaxation (PBE, Alexandria via LeMat-Bulk).

abc: 2.976 2.976 10.261
angles: 90.00 90.00 90.00
Element x y z (fractional)
Be (0.000, 0.000, 0.147)
Be (0.000, 0.000, 0.853)
Cd (0.000, 0.000, 0.500)
Au (0.500, 0.500, 0.000)
Au (0.500, 0.500, 0.285)
Au (0.500, 0.500, 0.715)

Calculated values
V (Å³/cell): 90.9
Symmetry: No. 123
E_form (eV per atom): -0.14

# 4
# Sr3Ca2Tl2

Sr3Ca2Tl2 after structural relaxation (PBE, Alexandria via LeMat-Bulk).

abc: 7.727 7.727 9.906
angles: 113.08 113.08 31.74
Element x y z (fractional)
Sr (0.000, 0.000, 0.000)
Sr (0.120, 0.120, 0.442)
Sr (0.880, 0.880, 0.558)
Ca (0.337, 0.337, 0.165)
Ca (0.663, 0.663, 0.835)
Tl (0.315, 0.315, 0.789)
Tl (0.685, 0.685, 0.211)

Calculated values
V (Å³/cell): 284.2
Symmetry: No. 12
E_form (eV per atom): -0.25

# 5
# Sc2MnAl

Sc2MnAl after structural relaxation (PBE, Alexandria via LeMat-Bulk).

abc: 4.334 4.334 3.982
angles: 90.00 90.00 90.00
Element x y z (fractional)
Sc (0.000, 0.500, 0.000)
Sc (0.500, 0.000, 0.000)
Mn (0.000, 0.000, 0.500)
Al (0.500, 0.500, 0.500)

Calculated values
V (Å³/cell): 74.8
Symmetry: No. 123
E_form (eV per atom): -0.17

# 6
# BaAgHg4

BaAgHg4 after structural relaxation (PBE, Alexandria via LeMat-Bulk).

abc: 6.207 6.207 6.207
angles: 60.00 60.00 60.00
Element x y z (fractional)
Ba (0.000, 0.000, 0.000)
Ag (0.250, 0.250, 0.250)
Hg (0.128, 0.624, 0.624)
Hg (0.624, 0.128, 0.624)
Hg (0.624, 0.624, 0.128)
Hg (0.624, 0.624, 0.624)

Calculated values
V (Å³/cell): 169.1
Symmetry: No. 216
E_form (eV per atom): -0.17

# 7
# CsAc2ZnO4

CsAc2ZnO4 after structural relaxation (PBE, Alexandria via LeMat-Bulk).

abc: 6.923 6.923 12.684
angles: 90.00 90.00 147.03
Element x y z (fractional)
Cs (0.099, 0.901, 0.750)
Cs (0.901, 0.099, 0.250)
Ac (0.369, 0.631, 0.553)
Ac (0.369, 0.631, 0.947)
Ac (0.631, 0.369, 0.053)
Ac (0.631, 0.369, 0.447)
Zn (0.178, 0.822, 0.250)
Zn (0.822, 0.178, 0.750)
O (0.000, 0.000, 0.000)
O (0.000, 0.000, 0.500)
O (0.252, 0.748, 0.100)
O (0.252, 0.748, 0.400)
O (0.382, 0.618, 0.750)
O (0.618, 0.382, 0.250)
O (0.748, 0.252, 0.600)
O (0.748, 0.252, 0.900)

Calculated values
Raw formation energy (eV per atom): -2.26
V (Å³/cell): 330.9
Symmetry: No. 63